1.
# SrTlRe2

SrTlRe2 after structural relaxation (GGA-PBE, Alexandria via LeMat-Bulk). Values from VASP.

Values from the calculation:
N(E_F): 3.2 states/eV per cell
E_form: 0.79 eV per atom
E above lowest polymorph: 403 meV per atom
symmetry: Imm2

```
&SYSTEM
  ibrav = 0, nat = 4, ntyp = 3
/
ATOMIC_SPECIES
Re 186.21 Re.upf
Tl 204.38 Tl.upf
Sr 87.62 Sr.upf
ATOMIC_POSITIONS crystal
Re 0.959 0.959 0.000
Re 0.807 0.307 0.500
Tl 0.223 0.723 0.500
Sr 0.511 0.511 0.000
CELL_PARAMETERS angstrom
5.941 0.026 0.006
2.491 5.393 -0.006
-3.623 -3.633 2.995
```

2.
# CsK12Na5

CsK12Na5 after structural relaxation (GGA-PBE, Alexandria via LeMat-Bulk). Values from VASP.

Values from the calculation:
N(E_F): 11.8 states/eV per cell
E_form: 0.03 eV per atom
symmetry: Immm

```
&SYSTEM
  ibrav = 0, nat = 18, ntyp = 3
/
ATOMIC_SPECIES
K 39.10 K.upf
Na 22.99 Na.upf
Cs 132.91 Cs.upf
ATOMIC_POSITIONS crystal
K 0.294 0.308 0.603
K 0.081 0.813 0.268
K 0.294 0.692 0.986
K 0.198 0.966 0.768
K 0.706 0.308 0.014
K 0.706 0.692 0.397
K 0.802 0.034 0.232
K 0.802 0.570 0.768
K 0.919 0.187 0.732
K 0.198 0.430 0.232
K 0.546 0.813 0.732
K 0.454 0.187 0.268
Na 0.500 0.116 0.616
Na 0.500 0.884 0.384
Na 0.000 0.000 0.000
Na 0.646 0.646 0.000
Na 0.354 0.354 0.000
Cs 0.000 0.500 0.500
CELL_PARAMETERS angstrom
-7.973 0.029 -8.443
3.969 -10.161 3.982
-4.613 4.386 9.713
```

3.
# AcCeThMg

AcCeThMg after structural relaxation (GGA-PBE, Alexandria via LeMat-Bulk). Values from VASP.

Values from the calculation:
N(E_F): 10.7 states/eV per cell
E_form: 0.25 eV per atom
symmetry: F-43m

```
&SYSTEM
  ibrav = 0, nat = 4, ntyp = 4
/
ATOMIC_SPECIES
Mg 24.30 Mg.upf
Th 232.04 Th.upf
Ce 140.12 Ce.upf
Ac 227.00 Ac.upf
ATOMIC_POSITIONS crystal
Mg 0.500 0.500 0.500
Th 0.000 0.000 0.000
Ce 0.750 0.750 0.750
Ac 0.250 0.250 0.250
CELL_PARAMETERS angstrom
-4.930 -0.741 -2.814
-4.300 -2.863 2.466
-4.704 2.793 1.684
```

4.
# PaTe2I6

PaTe2I6 after structural relaxation (GGA-PBE, Alexandria via LeMat-Bulk). Values from VASP.

Values from the calculation:
N(E_F): 4.7 states/eV per cell
raw formation energy: -51 kJ/mol of atoms
symmetry: R3

```
&SYSTEM
  ibrav = 0, nat = 9, ntyp = 3
/
ATOMIC_SPECIES
I 126.90 I.upf
Pa 231.04 Pa.upf
Te 127.60 Te.upf
ATOMIC_POSITIONS crystal
I 0.890 0.431 0.799
I 0.880 0.890 0.799
I 0.417 0.864 0.291
I 0.428 0.417 0.291
I 0.864 0.428 0.291
I 0.431 0.880 0.799
Pa 0.659 0.659 0.024
Te 0.444 0.444 0.667
Te 0.322 0.322 0.035
CELL_PARAMETERS angstrom
0.643 -7.337 -5.650
8.293 -2.694 -3.185
3.746 -7.566 2.625
```

5.
# AlSbC3

AlSbC3 after structural relaxation (GGA-PBE, Alexandria via LeMat-Bulk). Values from VASP.

Values from the calculation:
N(E_F): 3.3 states/eV per cell
raw formation energy: 212 kJ/mol of atoms
E above lowest polymorph: 0 meV per atom
symmetry: Pm-3m

```
&SYSTEM
  ibrav = 0, nat = 5, ntyp = 3
/
ATOMIC_SPECIES
C 12.01 C.upf
Sb 121.76 Sb.upf
Al 26.98 Al.upf
ATOMIC_POSITIONS crystal
C 0.000 0.000 0.500
C 0.000 0.500 0.000
C 0.500 0.000 0.000
Sb 0.500 0.500 0.500
Al 0.000 0.000 0.000
CELL_PARAMETERS angstrom
-0.200 -3.600 1.772
-0.484 -1.739 -3.589
3.983 -0.392 -0.347
```

6.
# Cd3PdAu3

Cd3PdAu3 after structural relaxation (GGA-PBE, Alexandria via LeMat-Bulk). Values from VASP.

Values from the calculation:
N(E_F): 4.4 states/eV per cell
E_form: -0.15 eV per atom
E above lowest polymorph: 0 meV per atom
symmetry: Cmmm

```
&SYSTEM
  ibrav = 0, nat = 14, ntyp = 3
/
ATOMIC_SPECIES
Cd 112.41 Cd.upf
Pd 106.42 Pd.upf
Au 196.97 Au.upf
ATOMIC_POSITIONS crystal
Cd 0.703 0.297 0.500
Cd 0.774 0.774 0.500
Cd 0.702 0.298 0.000
Cd 0.298 0.702 0.000
Cd 0.226 0.226 0.500
Cd 0.297 0.703 0.500
Pd 0.235 0.235 0.000
Pd 0.765 0.765 0.000
Au 0.000 0.500 0.245
Au 0.000 0.000 0.760
Au 0.000 0.500 0.755
Au 0.500 0.000 0.755
Au 0.000 0.000 0.240
Au 0.500 0.000 0.245
CELL_PARAMETERS angstrom
5.923 0.356 -0.001
0.370 5.923 -0.001
0.001 0.001 8.033
```

7.
# Ho5Hg2Pt

Ho5Hg2Pt after structural relaxation (GGA-PBE, Alexandria via LeMat-Bulk). Values from VASP.

Values from the calculation:
N(E_F): 14.4 states/eV per cell
E_form: -0.35 eV per atom
E above lowest polymorph: 246 meV per atom
symmetry: Cmcm

```
&SYSTEM
  ibrav = 0, nat = 16, ntyp = 3
/
ATOMIC_SPECIES
Ho 164.93 Ho.upf
Hg 200.59 Hg.upf
Pt 195.08 Pt.upf
ATOMIC_POSITIONS crystal
Ho 0.379 0.759 0.067
Ho 0.379 0.759 0.433
Ho 0.386 0.772 0.750
Ho 0.614 0.228 0.250
Ho 0.621 0.241 0.933
Ho 0.931 0.862 0.606
Ho 0.621 0.241 0.567
Ho 0.069 0.138 0.106
Ho 0.931 0.862 0.894
Ho 0.069 0.138 0.394
Hg 0.180 0.361 0.624
Hg 0.820 0.639 0.124
Hg 0.180 0.361 0.876
Hg 0.820 0.639 0.376
Pt 0.235 0.470 0.250
Pt 0.765 0.530 0.750
CELL_PARAMETERS angstrom
-0.124 -1.293 -5.513
6.236 -0.208 2.818
-1.702 -12.090 2.874
```

8.
# Y3ScS4

Y3ScS4 after structural relaxation (GGA-PBE, Alexandria via LeMat-Bulk). Values from VASP.

Values from the calculation:
N(E_F): 5.0 states/eV per cell
raw formation energy: -188 kJ/mol of atoms
symmetry: Cmmm

```
&SYSTEM
  ibrav = 0, nat = 8, ntyp = 3
/
ATOMIC_SPECIES
S 32.06 S.upf
Y 88.91 Y.upf
Sc 44.96 Sc.upf
ATOMIC_POSITIONS crystal
S 0.000 0.761 0.761
S 0.000 0.239 0.239
S 0.500 0.244 0.756
S 0.500 0.756 0.244
Y 0.500 0.500 0.500
Y 0.000 0.500 0.000
Y 0.000 0.000 0.500
Sc 0.500 0.000 0.000
CELL_PARAMETERS angstrom
3.841 0.000 0.000
0.000 6.715 -0.048
0.000 -2.162 6.357
```